The following is a PBE-GGA calculation of a relaxed Nd3Y2Ho6 crystal, from the Alexandria database.

Results
Space group = No. 139
Energy relative to the lowest polymorph listed for this composition = 72.8 meV/atom
Volume = 377.9 Å³/cell

Cell lengths 17.051, 17.051, 17.051 Å; angles 163.97, 163.97, 22.75 degrees
Element x y z (fractional)
Nd 0.000 0.000 0.000
Nd 0.204 0.204 0.000
Nd 0.796 0.796 0.000
Y 0.454 0.454 0.000
Y 0.546 0.546 0.000
Ho 0.121 0.621 0.500
Ho 0.307 0.307 0.000
Ho 0.379 0.879 0.500
Ho 0.621 0.121 0.500
Ho 0.693 0.693 0.000
Ho 0.879 0.379 0.500